3
Lattice="-1.104 -1.501 2.226 -0.672 -0.860 -2.690 6.970 -3.381 0.171" Properties=species:S:1:pos:R:3 comment="SbOsAu | Alexandria | GGA-PBEsol | relaxed" total_energy_ev_per_cell=-18.4 relative_energy_ev_per_atom=0.175 e_form_raw_ev_per_fu=2.32 density_g_cm3=14.9 pbc="T T T"
Os 4.013 -3.011 -0.040
Sb 1.370 -2.875 -0.255
Au 5.003 -5.600 -0.291

=====

4
Lattice="-0.449 -0.717 -3.174 -0.249 -3.500 0.827 -5.832 0.579 0.695" Properties=species:S:1:pos:R:3 comment="SbOsAu2 | Alexandria | GGA-PBEsol | relaxed" total_energy_ev_per_cell=-23.0 e_form_raw_ev_per_fu=1.59 density_g_cm3=16.8 pbc="T T T"
Os -2.999 0.298 0.357
Au -0.134 0.013 0.016
Au -1.764 -1.969 -1.005
Sb -4.550 -1.692 -0.673

=====

4
Lattice="3.065 0.000 0.000 0.000 4.535 0.000 0.000 0.000 5.004" Properties=species:S:1:pos:R:3 comment="SbOsAu2 | Alexandria | GGA-PBEsol | relaxed" total_energy_ev_per_cell=-22.5 e_form_raw_ev_per_fu=2.09 density_g_cm3=16.9 pbc="T T T"
Au 0.000 0.000 0.000
Au 1.533 2.267 0.000
Sb 0.000 2.267 2.502
Os 1.533 0.000 2.502

=====

3
Lattice="-1.036 -3.709 -2.164 1.263 -3.918 1.602 -3.003 -2.771 1.679" Properties=species:S:1:pos:R:3 comment="SbOsAu | Alexandria | GGA-PBEsol | relaxed" total_energy_ev_per_cell=-17.2 relative_energy_ev_per_atom=0.558 e_form_raw_ev_per_fu=3.46 density_g_cm3=13.9 pbc="T T T"
Sb -1.388 -5.199 0.558
Os 0.000 0.000 0.000
Au -0.694 -2.600 0.279

=====

4
Lattice="-1.361 1.943 1.862 1.868 -1.962 3.412 4.131 3.473 -3.046" Properties=species:S:1:pos:R:3 comment="SbOsAu2 | Alexandria | GGA-PBEsol | relaxed" total_energy_ev_per_cell=-22.6 e_form_raw_ev_per_fu=1.98 density_g_cm3=15.9 pbc="T T T"
Au 2.096 1.446 2.465
Au 2.542 2.008 -0.237
Sb -0.681 0.971 0.931
Os 0.934 -0.981 1.706

=====

3
Lattice="3.260 0.000 0.000 0.000 4.392 0.000 0.000 -2.196 3.804" Properties=species:S:1:pos:R:3 comment="SbOsAu | Alexandria | GGA-PBEsol | relaxed" total_energy_ev_per_cell=-18.9 relative_energy_ev_per_atom=0.000 e_form_raw_ev_per_fu=1.79 density_g_cm3=15.5 pbc="T T T"
Os 1.631 0.000 2.536
Au 0.000 0.000 0.000
Sb 1.629 2.196 1.268

=====

5
Lattice="-3.986 1.547 2.062 -2.536 -3.035 -2.624 0.463 -3.306 3.375" Properties=species:S:1:pos:R:3 comment="SbOs3Au | Alexandria | GGA-PBEsol | relaxed" total_energy_ev_per_cell=-31.6 e_form_raw_ev_per_fu=13.55 density_g_cm3=13.8 pbc="T T T"
Os -1.268 -1.518 -1.312
Os 0.232 -1.653 1.688
Os -1.993 0.774 1.031
Au -3.029 -2.397 1.407
Sb 0.000 0.000 0.000

=====

4
Lattice="-1.398 0.810 2.465 -2.432 -1.430 0.853 3.752 -5.936 5.839" Properties=species:S:1:pos:R:3 comment="ScOsAu2 | Alexandria | GGA-PBEsol | relaxed" delta_e_f_kj_per_mol_atoms=8 total_energy_ev_per_cell=-26.4 density_g_cm3=15.5 pbc="T T T"
Au -3.802 -0.652 3.345
Os -0.102 -3.206 4.519
Au -0.097 -4.872 6.831
Sc 0.056 -1.724 2.360